No. 1
# TbCe2ThSb4

An optimized crystal structure of TbCe2ThSb4 (PBE-GGA, Alexandria via LeMat-Bulk).

Calculated values
VASP energy in eV/atom: -6.1001
Theoretical density in g/cm³: 7.55
Crystal system: monoclinic

Lattice parameters (Å, degrees): 4.479 7.792 7.738 70.59 90.00 90.00
Each line ends with the local moment (μB).
Element x y z (fractional)
Tb: 0.000 0.500 0.500  0.00
Sb: 0.000 0.749 0.747  -0.01
Sb: 0.500 0.254 0.746  -0.01
Sb: 0.500 0.746 0.254  -0.01
Sb: 0.000 0.251 0.253  -0.01
Ce: 0.000 0.000 0.000  0.84
Ce: 0.500 0.000 0.500  0.81
Th: 0.500 0.500 0.000  0.01

=====

No. 2
# AcSm2C

An optimized crystal structure of AcSm2C (PBE-GGA, Alexandria via LeMat-Bulk).

Calculated values
Energy of formation from the pure elements in meV/atom: -8.0
Theoretical density in g/cm³: 7.38
Crystal system: trigonal

Lattice parameters (Å, degrees): 3.683 3.683 10.554 79.95 79.95 60.00
Element x y z (fractional)
Sm: 0.878 0.878 0.367
Sm: 0.122 0.122 0.633
C: 0.500 0.500 0.500
Ac: 0.000 0.000 0.000

=====

No. 3
# Rb2NpTlBr6

An optimized crystal structure of Rb2NpTlBr6 (PBE-GGA, Alexandria via LeMat-Bulk).

Calculated values
VASP energy in eV/atom: -4.1629
Theoretical density in g/cm³: 4.42
Crystal system: monoclinic

Lattice parameters (Å, degrees): 8.093 8.681 11.667 90.00 89.25 90.00
Each line ends with the local moment (μB).
Element x y z (fractional)
Rb: 0.030 0.922 0.251  0.00
Rb: 0.970 0.078 0.749  0.00
Rb: 0.470 0.422 0.249  0.00
Rb: 0.530 0.578 0.751  0.00
Br: 0.331 0.718 0.436  -0.01
Br: 0.169 0.218 0.064  -0.01
Br: 0.712 0.319 0.942  -0.01
Br: 0.878 0.547 0.232  -0.01
Br: 0.622 0.047 0.268  -0.01
Br: 0.788 0.819 0.558  -0.01
Br: 0.831 0.782 0.936  -0.01
Br: 0.288 0.681 0.058  -0.01
Br: 0.122 0.453 0.768  -0.01
Br: 0.212 0.181 0.442  -0.01
Br: 0.669 0.282 0.564  -0.01
Br: 0.378 0.953 0.732  -0.01
Tl: 0.000 0.500 0.500  0.00
Tl: 0.500 0.000 0.000  0.00
Np: 0.000 0.500 0.000  3.97
Np: 0.500 0.000 0.500  3.97

=====

No. 4
# TeIr2NO

An optimized crystal structure of TeIr2NO (PBE-GGA, Alexandria via LeMat-Bulk).

Calculated values
VASP energy in eV/atom: -4.6575
Theoretical density in g/cm³: 9.23
Crystal system: tetragonal

Lattice parameters (Å, degrees): 4.969 3.949 4.969 90.00 90.00 90.00
Each line ends with the local moment (μB).
Element x y z (fractional)
N: 0.500 0.500 0.500  1.20
Ir: 0.000 0.000 0.500  0.70
Ir: 0.500 0.000 0.000  0.82
Te: 0.000 0.000 0.000  0.00
O: 0.000 0.500 0.000  0.06

=====

No. 5
# YBeFe2

An optimized crystal structure of YBeFe2 (PBE-GGA, Alexandria via LeMat-Bulk).

Calculated values
Energy of formation from the pure elements in meV/atom: 304.2
Theoretical density in g/cm³: 5.89
Crystal system: tetragonal

Lattice parameters (Å, degrees): 4.638 4.638 4.638 128.72 128.72 75.46
Each line ends with the local moment (μB).
Element x y z (fractional)
Be: 0.750 0.250 0.500  -0.08
Fe: 0.250 0.750 0.500  2.31
Fe: 0.000 0.000 0.000  2.08
Y: 0.500 0.500 0.000  -0.19

=====

No. 6
# RbTbSeI

An optimized crystal structure of RbTbSeI (PBE-GGA, Alexandria via LeMat-Bulk).

Calculated values
VASP energy in eV/atom: -3.9858
Theoretical density in g/cm³: 5.44
Crystal system: trigonal

Lattice parameters (Å, degrees): 4.277 4.278 9.019 89.99 103.76 119.96
Element x y z (fractional)
Se: 0.333 0.564 0.912
I: 0.937 0.367 0.319
Rb: 0.495 0.145 0.656
Tb: 0.113 0.955 0.082

=====

No. 7
# LiCeGe2

An optimized crystal structure of LiCeGe2 (PBE-GGA, Alexandria via LeMat-Bulk).

Calculated values
Energy of formation from the pure elements in meV/atom: -475.4
Relative energy among the computed polymorphs in eV/atom: 0.138
Theoretical density in g/cm³: 6.00
Crystal system: trigonal

Lattice parameters (Å, degrees): 4.265 4.265 5.691 67.99 67.99 60.00
Each line ends with the local moment (μB).
Element x y z (fractional)
Li: 0.500 0.500 0.500  0.00
Ce: 0.000 0.000 0.000  0.67
Ge: 0.217 0.217 0.348  0.02
Ge: 0.783 0.783 0.652  0.02

=====

No. 8
# TbErHf2

An optimized crystal structure of TbErHf2 (PBE-GGA, Alexandria via LeMat-Bulk).

Calculated values
Energy of formation from the pure elements in meV/atom: 187.2
Theoretical density in g/cm³: 10.99
Crystal system: trigonal

Lattice parameters (Å, degrees): 3.304 3.304 11.080 81.43 81.43 60.00
Element x y z (fractional)
Hf: 0.750 0.750 0.749
Hf: 0.250 0.250 0.251
Tb: 0.000 0.000 0.000
Er: 0.500 0.500 0.500

=====

No. 9
# SmB4Os

An optimized crystal structure of SmB4Os (PBE-GGA, Alexandria via LeMat-Bulk).

Calculated values
Energy of formation from the pure elements in meV/atom: -519.5
Theoretical density in g/cm³: 10.02
Crystal system: orthorhombic

Lattice parameters (Å, degrees): 3.610 6.037 11.676 90.00 90.00 90.00
Element x y z (fractional)
B: 0.500 0.611 0.954
B: 0.500 0.026 0.690
B: 0.500 0.862 0.031
B: 0.500 0.974 0.310
B: 0.500 0.474 0.190
B: 0.500 0.285 0.315
B: 0.500 0.526 0.810
B: 0.500 0.138 0.969
B: 0.500 0.715 0.685
B: 0.500 0.215 0.815
B: 0.500 0.785 0.185
B: 0.500 0.111 0.546
B: 0.500 0.889 0.454
B: 0.500 0.389 0.046
B: 0.500 0.638 0.531
B: 0.500 0.362 0.469
Sm: 0.000 0.627 0.350
Sm: 0.000 0.127 0.150
Sm: 0.000 0.373 0.650
Sm: 0.000 0.873 0.850
Os: 0.000 0.860 0.593
Os: 0.000 0.640 0.093
Os: 0.000 0.360 0.907
Os: 0.000 0.140 0.407

=====

No. 10
# RhPb5

An optimized crystal structure of RhPb5 (PBE-GGA, Alexandria via LeMat-Bulk).

Calculated values
Energy of formation from the pure elements in meV/atom: 5.4
Relative energy among the computed polymorphs in eV/atom: 0.000
Theoretical density in g/cm³: 11.06
Crystal system: orthorhombic

Lattice parameters (Å, degrees): 4.524 7.845 9.633 90.00 90.00 90.00
Element x y z (fractional)
Pb: 0.000 0.458 0.250
Pb: 0.500 0.309 0.573
Pb: 0.500 0.309 0.927
Pb: 0.500 0.691 0.073
Pb: 0.000 0.542 0.750
Pb: 0.500 0.691 0.427
Pb: 0.000 0.000 0.500
Pb: 0.000 0.000 0.000
Pb: 0.500 0.094 0.250
Pb: 0.500 0.906 0.750
Rh: 0.000 0.833 0.250
Rh: 0.000 0.167 0.750

=====

No. 11
# La3BeCd

An optimized crystal structure of La3BeCd (PBE-GGA, Alexandria via LeMat-Bulk).

Calculated values
Energy of formation from the pure elements in meV/atom: 224.9
Relative energy among the computed polymorphs in eV/atom: 0.000
Theoretical density in g/cm³: 5.47
Crystal system: cubic

Lattice parameters (Å, degrees): 5.465 5.465 5.465 90.00 90.00 90.00
Each line ends with the local moment (μB).
Element x y z (fractional)
Be: 0.000 0.000 0.000  0.05
La: 0.500 0.000 0.000  0.14
La: 0.000 0.000 0.500  0.13
La: 0.000 0.500 0.000  0.14
Cd: 0.500 0.500 0.500  0.02

=====

No. 12
# AcSmPd4

An optimized crystal structure of AcSmPd4 (PBE-GGA, Alexandria via LeMat-Bulk).

Calculated values
Energy of formation from the pure elements in meV/atom: -763.2
Relative energy among the computed polymorphs in eV/atom: 0.035
Theoretical density in g/cm³: 10.79
Crystal system: cubic

Lattice parameters (Å, degrees): 5.590 5.590 5.590 60.00 60.00 60.00
Element x y z (fractional)
Sm: 0.000 0.000 0.000
Pd: 0.124 0.625 0.625
Pd: 0.625 0.625 0.124
Pd: 0.625 0.625 0.625
Pd: 0.625 0.124 0.625
Ac: 0.250 0.250 0.250

=====

Among the records above, which one has the highest theoretical density?
RhPb5

=====

Look up the theoretical density of the second one.
7.38 g/cm³